## one
A relaxed structure of Sc2AlCd2. Source: Alexandria via LeMat-Bulk, functional PBE.

```
10
Lattice="7.750 0.000 0.000 0.000 7.750 0.000 0.000 0.000 3.839" Properties=species:S:1:pos:R:3 pbc="T T T"
Sc 2.679 6.554 0.000
Sc 6.554 5.072 0.000
Sc 5.072 1.196 0.000
Sc 1.196 2.679 0.000
Al 0.000 0.000 0.000
Al 3.875 3.875 0.000
Cd 1.131 5.006 1.919
Cd 5.006 6.619 1.919
Cd 6.619 2.744 1.919
Cd 2.744 1.131 1.919
```

---

## two
A relaxed structure of Sc2AlCd2. Source: Alexandria via LeMat-Bulk, functional PBE.

```
10
Lattice="7.171 0.000 0.000 0.000 7.171 0.000 0.000 0.000 4.258" Properties=species:S:1:pos:R:3 pbc="T T T"
Sc 1.194 4.780 2.129
Sc 4.780 5.977 2.129
Sc 5.977 2.391 2.129
Sc 2.391 1.194 2.129
Al 0.000 0.000 0.000
Al 3.586 3.586 0.000
Cd 2.601 6.187 0.000
Cd 6.187 4.570 0.000
Cd 4.570 0.985 0.000
Cd 0.985 2.601 0.000
```

---

## three
A relaxed structure of Sc2AlCd2. Source: Alexandria via LeMat-Bulk, functional PBE.

```
5
Lattice="3.095 0.000 0.000 0.000 4.515 0.855 0.000 0.889 7.652" Properties=species:S:1:pos:R:3 pbc="T T T"
Sc 1.547 1.976 1.912
Sc 1.547 3.427 6.595
Al 0.000 0.000 0.000
Cd 0.000 1.425 4.820
Cd 0.000 3.978 3.687
```

---

## four
A relaxed structure of Sc2AlCd2. Source: Alexandria via LeMat-Bulk, functional PBE.

```
5
Lattice="-3.271 1.319 -2.491 -1.985 -3.788 0.600 -5.687 1.211 4.365" Properties=species:S:1:pos:R:3 pbc="T T T"
Sc -5.793 0.647 0.464
Sc -5.150 -1.906 2.010
Al 0.000 0.000 0.000
Cd -3.236 -0.749 0.110
Cd -7.707 -0.510 2.365
```

---

Energy above the most stable structure, in kJ/mol of atoms: one 26.2; two 9.0; three 0.0; four 51.8

---

## one
A relaxed structure of ScAlCd3. Source: Alexandria via LeMat-Bulk, functional PBE.

```
5
Lattice="5.056 0.000 0.000 0.000 5.056 0.000 0.000 0.000 5.056" Properties=species:S:1:pos:R:3 pbc="T T T"
Sc 2.528 2.528 2.528
Al 0.000 0.000 0.000
Cd 0.000 2.528 0.000
Cd 0.000 0.000 2.528
Cd 2.528 0.000 0.000
```

---

## two
A relaxed structure of ScAlCd3. Source: Alexandria via LeMat-Bulk, functional PBE.

```
5
Lattice="5.577 0.000 0.000 0.000 5.577 0.000 0.000 0.000 5.577" Properties=species:S:1:pos:R:3 pbc="T T T"
Sc 0.000 0.000 0.000
Al 2.788 2.788 2.788
Cd 0.000 2.788 0.000
Cd 2.788 0.000 0.000
Cd 0.000 0.000 2.788
```

---

Energy above the most stable structure, in kJ/mol of atoms: one 0.0; two 39.7

---

## one
A relaxed structure of Sc2AlCdTe. Source: Alexandria via LeMat-Bulk, functional PBE.

```
5
Lattice="5.393 0.000 0.000 0.000 4.733 0.000 0.000 0.000 5.393" Properties=species:S:1:pos:R:3 pbc="T T T"
Sc 0.000 0.000 2.697
Sc 2.697 0.000 0.000
Te 2.697 2.366 2.697
Al 0.000 2.366 0.000
Cd 0.000 0.000 0.000
```

---

## two
A relaxed structure of Sc2AlCdTe. Source: Alexandria via LeMat-Bulk, functional PBE.

```
5
Lattice="-1.232 -2.532 4.456 -2.943 -2.969 -2.501 4.015 -3.325 -0.779" Properties=species:S:1:pos:R:3 pbc="T T T"
Sc 2.008 -1.662 -0.390
Sc -0.616 -1.266 2.228
Te -0.080 -4.413 0.588
Al 0.000 0.000 0.000
Cd -1.472 -1.484 -1.250
```

---

Energy above the most stable structure, in kJ/mol of atoms: one 16.3; two 0.0

---

## one
A relaxed structure of ZrScAlCd. Source: Alexandria via LeMat-Bulk, functional PBE.

```
4
Lattice="-0.036 0.038 4.886 3.285 -2.626 2.488 3.577 2.252 2.452" Properties=species:S:1:pos:R:3 pbc="T T T"
Sc 0.000 0.000 0.000
Al 1.707 -0.084 2.457
Zr 3.413 -0.168 4.914
Cd 5.120 -0.252 7.370
```

---

## two
A relaxed structure of ZrScAlCd. Source: Alexandria via LeMat-Bulk, functional PBE.

```
4
Lattice="-0.091 -0.604 3.057 -2.380 -1.960 -0.459 5.461 -6.373 -1.097" Properties=species:S:1:pos:R:3 pbc="T T T"
Zr 3.163 -6.416 0.416
Sc 0.589 -3.411 0.933
Al 3.125 -3.647 -0.628
Cd 0.398 -0.465 -0.080
```

---

Energy above the most stable structure, in kJ/mol of atoms: one 5.4; two 0.0